Density functional theory data (PBE) for crystalline Sm4Hg5Ge2 at its relaxed geometry.

Cell lengths 7.770, 3.982, 9.240 Å; angles 90.00, 94.78, 90.00 degrees
Fractional coordinates of all 11 atoms:
Sm: 0.193 0.000 0.356
Sm: 0.237 0.000 0.924
Sm: 0.763 0.000 0.076
Sm: 0.807 0.000 0.644
Hg: 0.152 0.500 0.631
Hg: 0.457 0.500 0.170
Hg: 0.500 0.500 0.500
Hg: 0.543 0.500 0.830
Hg: 0.848 0.500 0.369
Ge: 0.070 0.500 0.127
Ge: 0.930 0.500 0.873

Calculated values
magnetic moment = 0.0 μB/f.u.
VASP energy = -3.195 eV per atom
symmetry = P2/m, No. 10

=====

Density functional theory data (PBE) for crystalline SmHgGe4 at its relaxed geometry.

Cell lengths 5.658, 5.658, 5.658 Å; angles 60.00, 60.00, 60.00 degrees
Fractional coordinates of all 6 atoms:
Sm: 0.000 0.000 0.000
Hg: 0.750 0.750 0.750
Ge: 0.374 0.374 0.374
Ge: 0.374 0.374 0.878
Ge: 0.374 0.878 0.374
Ge: 0.878 0.374 0.374

Calculated values
magnetic moment = 0.0 μB/f.u.
VASP energy = -4.100 eV per atom
symmetry = F-43m, No. 216

=====

Density functional theory data (PBE) for crystalline Sm6Hg2Ge at its relaxed geometry.

Cell lengths 8.624, 8.624, 4.031 Å; angles 90.00, 90.00, 120.00 degrees
Fractional coordinates of all 9 atoms:
Sm: 0.000 0.395 0.000
Sm: 0.000 0.741 0.500
Sm: 0.259 0.259 0.500
Sm: 0.395 0.000 0.000
Sm: 0.605 0.605 0.000
Sm: 0.741 0.000 0.500
Hg: 0.333 0.667 0.500
Hg: 0.667 0.333 0.500
Ge: 0.000 0.000 0.000

Calculated values
magnetic moment = 0.0 μB/f.u.
VASP energy = -4.123 eV per atom
symmetry = P-62m, No. 189